12
Lattice="4.545 0.000 0.000 0.303 5.486 0.000 0.275 0.476 7.243" Properties=species:S:1:pos:R:3 comment="GGA-PBE LaPm2SbO8, optimized geometry" total_energy_ev_per_atom=-7.321 magmom_total_mub_per_cell=0.000 mass_density_g_cm3=6.239 n_ef_per_ev_atom=0.000 sg=P-1 pbc="T T T"
La 0.000 0.000 0.000
Pm 2.254 2.668 1.751
Pm 2.869 3.294 5.493
Sb 0.137 0.238 3.622
O 0.739 4.403 5.126
O 0.750 4.388 2.193
O 2.054 0.888 3.645
O 2.259 1.903 7.194
O 2.864 4.059 0.050
O 3.069 5.074 3.598
O 4.373 1.575 5.050
O 4.385 1.559 2.118